DFT (meta-GGA SCAN) results for a PBEsol-optimized structure of Pm2MgRu.

Unit cell a=5.0683 b=5.0683 c=5.0683 alpha=60.00 beta=60.00 gamma=60.00
Last column: nearest neighbours and their distance in Å.
Element x y z (fractional)
Pm1 0.2500 0.2500 0.2500  4 Ru 3.10, 4 Mg 3.10
Pm2 0.7500 0.7500 0.7500  4 Ru 3.10, 4 Mg 3.10
Mg1 0.0000 0.0000 0.0000  8 Pm 3.10
Ru1 0.5000 0.5000 0.5000  8 Pm 3.10

## Properties
crystal system: cubic
DFT formation energy: -0.1516 eV per atom
E_tot: -128.378 eV/cell
size of the total moment: 0.00 μB per formula unit